# 1
This record from the Alexandria database describes a relaxed La3FeBi crystal. The functional is GGA-PBE.

Results
The space group is P6_3/mmc, No. 194. As for the total energy: -5.505 eV per atom. The formation enthalpy at 0 K is -0.40 eV/f.u.

a = 4.7225 Å, b = 4.7225 Å, c = 17.9317 Å
α = 90.00°, β = 90.00°, γ = 120.00°
Element x y z (fractional)
Fe  0.3333  0.6667  0.7500
Fe  0.6667  0.3333  0.2500
Bi  0.0000  0.0000  0.0000
Bi  0.0000  0.0000  0.5000
La  0.0000  0.0000  0.2500
La  0.0000  0.0000  0.7500
La  0.3333  0.6667  0.8971
La  0.3333  0.6667  0.6029
La  0.6667  0.3333  0.3971
La  0.6667  0.3333  0.1029

# 2
This record from the Alexandria database describes a relaxed La3FeBi crystal. The functional is GGA-PBE.

Results
The space group is P6_3/mmc, No. 194. As for the total energy: -5.842 eV per atom. The formation enthalpy at 0 K is -2.08 eV/f.u.

a = 7.5146 Å, b = 7.5151 Å, c = 5.9833 Å
α = 90.00°, β = 90.00°, γ = 59.99°
Element x y z (fractional)
Bi  0.3806  0.9961  0.8812
Bi  0.0474  0.6627  0.3812
Fe  0.7141  0.3295  0.1308
Fe  0.7140  0.3295  0.6308
La  0.8874  0.5030  0.8813
La  0.3671  0.5028  0.8813
La  0.0609  0.1559  0.3813
La  0.5405  0.6763  0.3813
La  0.8874  0.9825  0.8813
La  0.5406  0.1559  0.3813

# 3
This record from the Alexandria database describes a relaxed La3FeBi crystal. The functional is GGA-PBE.

Results
The space group is I-4m2, No. 119. As for the total energy: -5.400 eV per atom. The formation enthalpy at 0 K is 0.13 eV/f.u.

a = 6.6273 Å, b = 6.6273 Å, c = 8.7060 Å
α = 67.63°, β = 67.63°, γ = 90.00°
Element x y z (fractional)
Fe  0.0000  0.0000  0.0000
Fe  0.2500  0.7500  0.5000
Bi  0.6191  0.1191  0.7618
Bi  0.8809  0.3809  0.2382
La  0.6345  0.8869  0.2263
La  0.1131  0.3655  0.7737
La  0.1131  0.8608  0.7737
La  0.1392  0.8869  0.2263
La  0.3276  0.3276  0.3448
La  0.6724  0.6724  0.6552

# 4
This record from the Alexandria database describes a relaxed La3FeBi crystal. The functional is GGA-PBE.

Results
The space group is I-4m2, No. 119. As for the total energy: -5.050 eV per atom. The formation enthalpy at 0 K is 1.88 eV/f.u.

a = 6.2830 Å, b = 6.2830 Å, c = 12.2785 Å
α = 75.18°, β = 75.18°, γ = 90.00°
Site moments in Bohr magnetons follow the coordinates.
Element x y z (fractional)
Fe  0.7026  0.2026  0.5949  -2.63
Fe  0.7974  0.2974  0.4051  -2.63
Bi  0.0000  0.0000  0.0000  0.02
Bi  0.2500  0.7500  0.5000  -0.03
La  0.6377  0.8766  0.2469  0.17
La  0.1234  0.3623  0.7531  0.17
La  0.1234  0.8845  0.7531  0.17
La  0.1155  0.8766  0.2469  0.17
La  0.2760  0.2760  0.4479  0.24
La  0.7240  0.7240  0.5521  0.24

# 5
This record from the Alexandria database describes a relaxed La3FeBi crystal. The functional is GGA-PBE.

Results
The space group is P1, No. 1. As for the total energy: -5.831 eV per atom. The formation enthalpy at 0 K is -2.03 eV/f.u.

a = 8.7195 Å, b = 4.5471 Å, c = 8.7745 Å
α = 90.16°, β = 120.75°, γ = 89.82°
Element x y z (fractional)
Bi  0.3041  0.3940  0.0055
Bi  0.5991  0.3939  0.6666
Fe  0.9721  0.8990  0.2130
Fe  0.9289  0.8891  0.4513
La  0.9607  0.3962  0.1034
La  0.7282  0.3871  0.3540
La  0.9504  0.8925  0.7676
La  0.1670  0.3934  0.5669
La  0.5693  0.8941  0.9454
La  0.3602  0.8948  0.3263

# 6
This record from the Alexandria database describes a relaxed La3FeBi crystal. The functional is GGA-PBE.

Results
The space group is P-1, No. 2. As for the total energy: -5.791 eV per atom. The formation enthalpy at 0 K is -1.83 eV/f.u.

a = 7.1930 Å, b = 7.0464 Å, c = 6.3055 Å
α = 93.31°, β = 80.13°, γ = 73.18°
Element x y z (fractional)
Bi  0.1102  0.7949  0.9531
Bi  0.5958  0.5971  0.3529
Fe  0.8932  0.0090  0.6660
Fe  0.8129  0.3834  0.6398
La  0.7069  0.0695  0.3372
La  0.6277  0.8336  0.8447
La  0.9992  0.3224  0.9690
La  0.1928  0.0164  0.4356
La  0.5132  0.3757  0.8704
La  0.0783  0.5584  0.4616

# 7
This record from the Alexandria database describes a relaxed LaFe3Bi crystal. The functional is GGA-PBE.

Results
The space group is Pm-3m, No. 221. As for the total energy: -5.386 eV per atom. The formation enthalpy at 0 K is 7.26 eV/f.u.

a = 4.7781 Å, b = 4.7781 Å, c = 4.7781 Å
α = 90.00°, β = 90.00°, γ = 90.00°
Site moments in Bohr magnetons follow the coordinates.
Element x y z (fractional)
Fe  0.0000  0.5000  0.0000  2.21
Fe  0.0000  0.0000  0.5000  2.19
Fe  0.5000  0.0000  0.0000  2.16
Bi  0.5000  0.5000  0.5000  0.03
La  0.0000  0.0000  0.0000  -0.37

# 8
This record from the Alexandria database describes a relaxed La7Fe2Bi3 crystal. The functional is GGA-PBE.

Results
The space group is Cmmm, No. 65. As for the total energy: -5.762 eV per atom. The formation enthalpy at 0 K is -6.08 eV/f.u.

a = 5.3069 Å, b = 4.9874 Å, c = 13.9416 Å
α = 90.00°, β = 100.97°, γ = 90.00°
Element x y z (fractional)
La  0.5972  0.0000  0.1945
La  0.2039  0.0000  0.4077
La  0.0000  0.0000  0.0000
La  0.4028  0.0000  0.8055
La  0.8988  0.5000  0.7976
La  0.1012  0.5000  0.2024
La  0.7961  0.0000  0.5923
Fe  0.0939  0.0000  0.1878
Fe  0.9061  0.0000  0.8122
Bi  0.5000  0.5000  0.0000
Bi  0.3092  0.5000  0.6184
Bi  0.6908  0.5000  0.3816

# 9
This record from the Alexandria database describes a relaxed La3FeBi crystal. The functional is GGA-PBE.

Results
The space group is C2/c, No. 15. As for the total energy: -5.684 eV per atom. The formation enthalpy at 0 K is -1.30 eV/f.u.

a = 12.9583 Å, b = 8.7661 Å, c = 8.7661 Å
α = 87.79°, β = 123.03°, γ = 56.97°
Element x y z (fractional)
Fe  0.3199  0.1268  0.5675
Fe  0.1801  0.0675  0.6268
Fe  0.6801  0.8732  0.4325
Fe  0.8199  0.9325  0.3732
Bi  0.7500  0.2515  0.7515
Bi  0.2500  0.7485  0.2485
Bi  0.7500  0.5916  0.0916
Bi  0.2500  0.4084  0.9084
La  0.4234  0.2585  0.4050
La  0.0766  0.9050  0.7585
La  0.5766  0.7415  0.5950
La  0.9234  0.0950  0.2415
La  0.1098  0.2148  0.2057
La  0.3902  0.7057  0.7148
La  0.8902  0.7852  0.7943
La  0.6098  0.2943  0.2852
La  0.5882  0.0711  0.9466
La  0.9118  0.4466  0.5711
La  0.4118  0.9289  0.0534
La  0.0882  0.5534  0.4289

# 10
This record from the Alexandria database describes a relaxed La3FeBi crystal. The functional is GGA-PBE.

Results
The space group is P-1, No. 2. As for the total energy: -5.823 eV per atom. The formation enthalpy at 0 K is -1.99 eV/f.u.

a = 7.8035 Å, b = 4.9704 Å, c = 8.5684 Å
α = 91.14°, β = 63.01°, γ = 90.00°
Element x y z (fractional)
Bi  0.3070  0.4486  0.0541
Bi  0.0211  0.4384  0.6260
Fe  0.7584  0.9973  0.1512
Fe  0.5704  0.8892  0.5277
La  0.7879  0.4464  0.0918
La  0.3677  0.9435  0.3400
La  0.1640  0.9434  0.8403
La  0.5395  0.4406  0.5885
La  0.6642  0.9434  0.8401
La  0.9598  0.9432  0.3404

# 11
This record from the Alexandria database describes a relaxed La3FeBi crystal. The functional is GGA-PBE.

Results
The space group is C2/m, No. 12. As for the total energy: -5.718 eV per atom. The formation enthalpy at 0 K is -1.46 eV/f.u.

a = 18.4350 Å, b = 7.1209 Å, c = 7.1209 Å
α = 133.27°, β = 144.67°, γ = 35.33°
Element x y z (fractional)
Fe  0.9074  0.9564  0.0436
Fe  0.0926  0.0436  0.9564
Bi  0.5702  0.0459  0.9541
Bi  0.4298  0.9541  0.0459
La  0.7845  0.3262  0.6738
La  0.2155  0.6738  0.3262
La  0.9181  0.4584  0.5416
La  0.0819  0.5416  0.4584
La  0.3407  0.7913  0.2087
La  0.6593  0.2087  0.7913

# 12
This record from the Alexandria database describes a relaxed La3FeBi crystal. The functional is GGA-PBE.

Results
The space group is Pmma, No. 51. As for the total energy: -5.632 eV per atom. The formation enthalpy at 0 K is -1.04 eV/f.u.

a = 4.4789 Å, b = 8.8503 Å, c = 7.7739 Å
α = 90.00°, β = 90.01°, γ = 90.00°
Element x y z (fractional)
Fe  0.9998  0.2500  0.3157
Fe  0.0002  0.7500  0.6843
Bi  0.4999  0.2500  0.5038
Bi  0.5001  0.7500  0.4962
La  0.0000  0.0216  0.7300
La  0.0000  0.9784  0.2700
La  0.0000  0.4784  0.7300
La  0.0000  0.5216  0.2700
La  0.4999  0.2500  0.0589
La  0.5001  0.7500  0.9411

# 13
This record from the Alexandria database describes a relaxed La3FeBi crystal. The functional is GGA-PBE.

Results
The space group is R-3m, No. 166. As for the total energy: -5.609 eV per atom. The formation enthalpy at 0 K is -0.92 eV/f.u.

a = 7.9997 Å, b = 7.9997 Å, c = 7.9997 Å
α = 52.97°, β = 52.97°, γ = 52.97°
Element x y z (fractional)
Fe  0.1503  0.1503  0.1503
Fe  0.8497  0.8497  0.8497
Bi  0.2802  0.2802  0.2802
Bi  0.7198  0.7198  0.7198
La  0.2518  0.2516  0.7572
La  0.2516  0.7572  0.2518
La  0.2428  0.7482  0.7484
La  0.7484  0.2428  0.7482
La  0.7482  0.7484  0.2428
La  0.7572  0.2518  0.2516

# 14
This record from the Alexandria database describes a relaxed La3FeBi crystal. The functional is GGA-PBE.

Results
The space group is P1, No. 1. As for the total energy: -5.777 eV per atom. The formation enthalpy at 0 K is -1.76 eV/f.u.

a = 7.2612 Å, b = 7.3618 Å, c = 7.5052 Å
α = 119.39°, β = 107.58°, γ = 59.59°
Element x y z (fractional)
Bi  0.9267  0.9029  0.7422
Bi  0.4965  0.4281  0.3637
Fe  0.1758  0.4452  0.0744
Fe  0.7025  0.6726  0.0579
La  0.9113  0.3913  0.7040
La  0.5073  0.9270  0.3727
La  0.9753  0.3701  0.2284
La  0.9752  0.8734  0.2287
La  0.4296  0.4553  0.8590
La  0.4302  0.9641  0.8596

# 15
This record from the Alexandria database describes a relaxed La3FeBi crystal. The functional is GGA-PBE.

Results
The space group is P2_1/m, No. 11. As for the total energy: -5.755 eV per atom. The formation enthalpy at 0 K is -1.65 eV/f.u.

a = 6.0824 Å, b = 7.2043 Å, c = 7.3000 Å
α = 90.00°, β = 111.37°, γ = 90.00°
Element x y z (fractional)
Fe  0.3113  0.2500  0.5021
Fe  0.6887  0.7500  0.4979
Bi  0.8992  0.2500  0.1675
Bi  0.1008  0.7500  0.8325
La  0.4296  0.4826  0.2321
La  0.5704  0.5174  0.7679
La  0.4296  0.0174  0.2321
La  0.5704  0.9826  0.7679
La  0.0208  0.2500  0.6528
La  0.9792  0.7500  0.3472

# 16
This record from the Alexandria database describes a relaxed La3FeBi crystal. The functional is GGA-PBE.

Results
The space group is Fd-3m, No. 227. As for the total energy: -5.584 eV per atom. The formation enthalpy at 0 K is -0.79 eV/f.u.

a = 9.9706 Å, b = 9.9706 Å, c = 9.9706 Å
α = 60.00°, β = 60.00°, γ = 60.00°
Element x y z (fractional)
Fe  0.1250  0.1250  0.1250
Fe  0.1250  0.6250  0.1250
Fe  0.6250  0.1250  0.1250
Fe  0.1250  0.1250  0.6250
Bi  0.6250  0.6250  0.6250
Bi  0.6250  0.1250  0.6250
Bi  0.1250  0.6250  0.6250
Bi  0.6250  0.6250  0.1250
La  0.7946  0.2054  0.2054
La  0.0446  0.4554  0.4554
La  0.4554  0.4554  0.0446
La  0.4554  0.0446  0.0446
La  0.0446  0.4554  0.0446
La  0.7946  0.2054  0.7946
La  0.4554  0.0446  0.4554
La  0.0446  0.0446  0.4554
La  0.2054  0.7946  0.2054
La  0.2054  0.7946  0.7946
La  0.2054  0.2054  0.7946
La  0.7946  0.7946  0.2054

# 17
This record from the Alexandria database describes a relaxed LaFe3Bi crystal. The functional is GGA-PBE.

Results
The space group is Pm-3m, No. 221. As for the total energy: -5.909 eV per atom. The formation enthalpy at 0 K is 4.65 eV/f.u.

a = 4.9258 Å, b = 4.9258 Å, c = 4.9258 Å
α = 90.00°, β = 90.00°, γ = 90.00°
Site moments in Bohr magnetons follow the coordinates.
Element x y z (fractional)
Fe  0.0000  0.5000  0.0000  2.50
Fe  0.0000  0.0000  0.5000  2.54
Fe  0.5000  0.0000  0.0000  2.48
Bi  0.0000  0.0000  0.0000  -0.10
La  0.5000  0.5000  0.5000  -0.38

# 18
This record from the Alexandria database describes a relaxed La3FeBi crystal. The functional is GGA-PBE.

Results
The space group is Cmcm, No. 63. As for the total energy: -5.522 eV per atom. The formation enthalpy at 0 K is -0.49 eV/f.u.

a = 7.2686 Å, b = 7.2686 Å, c = 6.7804 Å
α = 90.00°, β = 90.00°, γ = 123.30°
Element x y z (fractional)
Fe  0.1776  0.8224  0.2500
Fe  0.8224  0.1776  0.7500
Bi  0.5495  0.4505  0.2500
Bi  0.4505  0.5495  0.7500
La  0.0479  0.4534  0.2500
La  0.5466  0.9521  0.2500
La  0.4534  0.0479  0.7500
La  0.9521  0.5466  0.7500
La  0.0000  0.0000  0.0000
La  0.0000  0.0000  0.5000

# 19
This record from the Alexandria database describes a relaxed La3FeBi crystal. The functional is GGA-PBE.

Results
The space group is R-3c, No. 167. As for the total energy: -5.513 eV per atom. The formation enthalpy at 0 K is -0.44 eV/f.u.

a = 6.6472 Å, b = 6.6472 Å, c = 6.6472 Å
α = 83.35°, β = 83.35°, γ = 83.35°
Element x y z (fractional)
Fe  0.2500  0.2500  0.2500
Fe  0.7500  0.7500  0.7500
Bi  0.0000  0.0000  0.0000
Bi  0.5000  0.5000  0.5000
La  0.9637  0.5363  0.2500
La  0.5363  0.2500  0.9637
La  0.2500  0.9637  0.5363
La  0.7500  0.0363  0.4637
La  0.4637  0.7500  0.0363
La  0.0363  0.4637  0.7500

# 20
This record from the Alexandria database describes a relaxed La3FeBi crystal. The functional is GGA-PBE.

Results
The space group is P2_1, No. 4. As for the total energy: -5.804 eV per atom. The formation enthalpy at 0 K is -1.89 eV/f.u.

a = 8.7459 Å, b = 8.6832 Å, c = 4.5072 Å
α = 90.00°, β = 90.00°, γ = 59.49°
Element x y z (fractional)
Bi  0.3619  0.0044  0.0200
Bi  0.0661  0.6545  0.5202
Fe  0.7015  0.3021  0.5772
Fe  0.7265  0.3566  0.0771
La  0.7762  0.6288  0.0153
La  0.3843  0.3829  0.0189
La  0.0436  0.2760  0.5188
La  0.4459  0.6716  0.5244
La  0.9822  0.9872  0.0245
La  0.6518  0.0300  0.5153